--- 1 ---
A plane-wave DFT calculation with PBE was carried out for a relaxed structure of TbPr2Se3.

Calculated values
Space-group type: Immm (71)
Total magnetic moment in Bohr magnetons per cell: 0.000
Fermi-level density of states in states/eV/cell: 2.8

a = 4.2053 Å, b = 5.9479 Å, c = 7.3043 Å
α = 114.03°, β = 106.73°, γ = 90.00°
Closest atoms and distances in Å follow each position.
Positions (direct):
Tb 0.5000 0.5000 0.5000  6 Se 2.90-2.97
Se 0.8428 0.3428 0.1857  2 Tb 2.90, 4 Pr 2.98-3.01
Se 0.1572 0.6572 0.8143  2 Tb 2.90, 4 Pr 2.98-3.01
Se 0.5000 0.0000 0.5000  2 Tb 2.97, 4 Pr 3.03
Pr 0.1722 0.1722 0.8445  6 Se 2.98-3.03
Pr 0.8278 0.8278 0.1555  6 Se 2.98-3.03


--- 2 ---
A plane-wave DFT calculation with PBE was carried out for a relaxed structure of TbPr2Se3.

Calculated values
Space-group type: Fddd (70)
Total magnetic moment in Bohr magnetons per cell: 0.000
Fermi-level density of states in states/eV/cell: 12.2

a = 7.3208 Å, b = 7.3208 Å, c = 13.1779 Å
α = 100.88°, β = 100.88°, γ = 108.69°
Closest atoms and distances in Å follow each position.
Positions (direct):
Tb 0.1670 0.6670 0.3340  6 Se 2.89-2.91
Tb 0.9170 0.9170 0.8340  6 Se 2.89-2.91
Tb 0.3330 0.8330 0.6660  6 Se 2.89-2.91
Tb 0.0830 0.0830 0.1660  6 Se 2.89-2.91
Pr 0.6694 0.1694 0.3388  6 Se 3.02-3.04
Pr 0.9983 0.4983 0.9965  6 Se 2.98-3.03
Pr 0.2517 0.2517 0.5035  6 Se 2.98-3.03
Pr 0.8306 0.3306 0.6612  6 Se 3.02-3.04
Pr 0.5806 0.5806 0.1612  6 Se 3.02-3.04
Pr 0.4194 0.4194 0.8388  6 Se 3.02-3.04
Pr 0.5017 0.0017 0.0035  6 Se 2.98-3.03
Pr 0.7483 0.7483 0.4965  6 Se 2.98-3.03
Se 0.2365 0.2365 0.0000  2 Tb 2.89, 4 Pr 2.98-3.02
Se 0.4865 0.9865 0.5000  2 Tb 2.89, 4 Pr 2.98-3.02
Se 0.0849 0.0744 0.6713  2 Tb 2.91, 4 Pr 3.02-3.04
Se 0.7635 0.7635 0.0000  2 Tb 2.89, 4 Pr 2.98-3.02
Se 0.4031 0.4136 0.3287  2 Tb 2.91, 4 Pr 3.02-3.04
Se 0.3244 0.8349 0.1713  2 Tb 2.91, 4 Pr 3.02-3.04
Se 0.0135 0.5135 0.5000  2 Tb 2.89, 4 Pr 2.98-3.02
Se 0.8469 0.3364 0.1713  2 Tb 2.91, 4 Pr 3.02-3.04
Se 0.5864 0.5969 0.6713  2 Tb 2.91, 4 Pr 3.02-3.04
Se 0.9256 0.9151 0.3287  2 Tb 2.91, 4 Pr 3.02-3.04
Se 0.6636 0.1531 0.8287  2 Tb 2.91, 4 Pr 3.02-3.04
Se 0.1651 0.6756 0.8287  2 Tb 2.91, 4 Pr 3.02-3.04


2 has the most favorable energy; the next structure is 0.006 eV/atom above.